1.
Below is a crystal of CaLaNF2 relaxed with PBEsol, with properties calculated at the meta-GGA SCAN level. Values from VASP.

```
&SYSTEM
  ibrav = 0, nat = 5, ntyp = 4
/
ATOMIC_SPECIES
Ca 40.08 Ca.upf
La 138.91 La.upf
N 14.01 N.upf
F 19.00 F.upf
CELL_PARAMETERS angstrom
4.080 0.000 0.000
0.000 4.080 0.000
0.000 0.000 4.873
ATOMIC_POSITIONS angstrom
Ca 0.000 0.000 0.000
La 2.040 2.040 2.436
N 0.000 0.000 2.436
F 0.000 2.040 0.000
F 2.040 0.000 0.000
```

Output
Symmetry ... P4/mmm
Uncorrected energy ... -16.388 eV/atom



2.
Below is a crystal of CaLaN2F relaxed with PBEsol, with properties calculated at the meta-GGA SCAN level. Values from VASP.

```
&SYSTEM
  ibrav = 0, nat = 5, ntyp = 4
/
ATOMIC_SPECIES
Ca 40.08 Ca.upf
La 138.91 La.upf
N 14.01 N.upf
F 19.00 F.upf
CELL_PARAMETERS angstrom
4.274 0.000 0.000
0.000 4.274 0.000
0.000 0.000 4.148
ATOMIC_POSITIONS angstrom
Ca 0.000 0.000 0.000
La 2.137 2.137 2.074
N 0.000 2.137 0.000
N 2.137 0.000 0.000
F 0.000 0.000 2.074
```

Output
DOS(E_F) ... 1.89 states/eV per cell
Symmetry ... P4/mmm
Uncorrected energy ... -16.096 eV/atom



3.
Below is a crystal of NaCaLaF6 relaxed with PBEsol, with properties calculated at the meta-GGA SCAN level. Values from VASP.

```
&SYSTEM
  ibrav = 0, nat = 9, ntyp = 4
/
ATOMIC_SPECIES
Na 22.99 Na.upf
Ca 40.08 Ca.upf
La 138.91 La.upf
F 19.00 F.upf
CELL_PARAMETERS angstrom
6.044 0.000 0.000
-3.022 5.235 0.000
0.000 0.000 3.721
ATOMIC_POSITIONS angstrom
Na 0.000 0.000 0.000
Ca 3.022 1.745 0.891
La 0.000 3.490 2.692
F -1.601 3.616 0.842
F 0.691 2.040 0.842
F 2.077 0.447 2.736
F 0.910 4.813 0.842
F 2.370 3.213 2.736
F 4.619 1.575 2.736
```

Output
DOS(E_F) ... 0.00 states/eV per cell
Symmetry ... P3
Uncorrected energy ... -12.739 eV/atom



4.
Below is a crystal of LiCa2F2 relaxed with PBEsol, with properties calculated at the meta-GGA SCAN level. Values from VASP.

```
&SYSTEM
  ibrav = 0, nat = 5, ntyp = 3
/
ATOMIC_SPECIES
Li 6.94 Li.upf
Ca 40.08 Ca.upf
F 19.00 F.upf
CELL_PARAMETERS angstrom
-1.975 1.975 6.493
1.975 -1.975 6.493
1.975 1.975 -6.493
ATOMIC_POSITIONS angstrom
Li 0.000 0.000 0.000
Ca 0.000 0.000 4.507
Ca 0.000 0.000 8.478
F 1.975 0.000 3.246
F 0.000 1.975 3.246
```

Output
DOS(E_F) ... 1.90 states/eV per cell
Symmetry ... I4/mmm
Uncorrected energy ... -8.172 eV/atom



5.
Below is a crystal of LiCa2F relaxed with PBEsol, with properties calculated at the meta-GGA SCAN level. Values from VASP.

```
&SYSTEM
  ibrav = 0, nat = 4, ntyp = 3
/
ATOMIC_SPECIES
Li 6.94 Li.upf
Ca 40.08 Ca.upf
F 19.00 F.upf
CELL_PARAMETERS angstrom
0.000 3.686 3.686
3.686 0.000 3.686
3.686 3.686 0.000
ATOMIC_POSITIONS angstrom
Li 0.000 0.000 0.000
Ca 1.843 1.843 1.843
Ca 5.529 5.529 5.529
F 3.686 3.686 3.686
```

Output
DOS(E_F) ... 2.14 states/eV per cell
Symmetry ... Fm-3m
Uncorrected energy ... -6.998 eV/atom



6.
Below is a crystal of LiCaNiF6 relaxed with PBEsol, with properties calculated at the meta-GGA SCAN level. Values from VASP.

```
&SYSTEM
  ibrav = 0, nat = 18, ntyp = 4
/
ATOMIC_SPECIES
Li 6.94 Li.upf
Ca 40.08 Ca.upf
Ni 58.69 Ni.upf
F 19.00 F.upf
CELL_PARAMETERS angstrom
5.021 0.000 0.000
-2.510 4.348 0.000
0.000 0.000 9.719
ATOMIC_POSITIONS angstrom
Li 0.000 2.899 2.430
Li 2.510 1.449 7.289
Ca 0.000 0.000 0.000
Ca 0.000 0.000 4.859
Ni 0.000 2.899 7.289
Ni 2.510 1.449 2.430
F -0.831 1.604 8.352
F -1.537 2.827 6.226
F 0.831 1.604 6.226
F -0.706 4.265 8.352
F 1.804 0.082 3.493
F 0.974 1.521 1.367
F 1.537 2.827 8.352
F 0.706 4.265 6.226
F 3.216 0.082 1.367
F 1.680 2.744 3.493
F 4.047 1.521 3.493
F 3.341 2.744 1.367
```

Output
DOS(E_F) ... 13.47 states/eV per cell
Symmetry ... P-31c
Uncorrected energy ... -8.468 eV/atom



7.
Below is a crystal of LiCaTa2O6F relaxed with PBEsol, with properties calculated at the meta-GGA SCAN level. Values from VASP.

```
&SYSTEM
  ibrav = 0, nat = 22, ntyp = 5
/
ATOMIC_SPECIES
Li 6.94 Li.upf
Ca 40.08 Ca.upf
Ta 180.95 Ta.upf
O 16.00 O.upf
F 19.00 F.upf
CELL_PARAMETERS angstrom
-3.636 3.690 5.165
3.636 -3.690 5.165
3.636 3.690 -5.165
ATOMIC_POSITIONS angstrom
Li -1.818 1.845 2.582
Li 1.818 1.845 2.582
Ca 0.000 0.000 0.000
Ca 0.000 3.690 0.000
Ta 1.818 1.845 -2.582
Ta 1.818 -1.845 2.582
Ta 3.636 0.000 0.000
Ta 0.000 0.000 5.165
O 2.193 -0.425 1.277
O 5.080 -0.425 1.277
O 3.636 -1.845 3.357
O 3.636 1.845 0.677
O 2.193 3.265 -1.277
O 1.443 -0.425 3.888
O 2.193 4.115 1.277
O 1.443 0.425 6.442
O 0.000 1.845 4.488
O 0.000 5.535 1.808
O -1.443 4.115 3.888
O 1.443 4.115 3.888
F 0.000 1.845 1.354
F 3.636 1.845 3.811
```

Output
DOS(E_F) ... 0.00 states/eV per cell
Symmetry ... Imma
Uncorrected energy ... -20.119 eV/atom



8.
Below is a crystal of LiCaVF6 relaxed with PBEsol, with properties calculated at the meta-GGA SCAN level. Values from VASP.

```
&SYSTEM
  ibrav = 0, nat = 18, ntyp = 4
/
ATOMIC_SPECIES
Li 6.94 Li.upf
Ca 40.08 Ca.upf
V 50.94 V.upf
F 19.00 F.upf
CELL_PARAMETERS angstrom
5.113 0.000 0.000
-2.557 4.428 0.000
0.000 0.000 9.770
ATOMIC_POSITIONS angstrom
Li 0.000 2.952 2.443
Li 2.557 1.476 7.328
Ca 0.000 0.000 0.000
Ca 0.000 0.000 4.885
V 0.000 2.952 7.328
V 2.557 1.476 2.443
F -0.859 1.597 6.246
F -1.603 2.886 8.409
F 0.859 1.597 8.409
F -0.744 4.373 6.246
F 1.812 0.055 1.361
F 0.954 1.542 3.524
F 1.603 2.886 6.246
F 0.744 4.373 8.409
F 3.301 0.055 3.524
F 1.698 2.831 1.361
F 4.160 1.542 1.361
F 3.415 2.831 3.524
```

Output
Symmetry ... P-31c
Uncorrected energy ... -9.192 eV/atom